First-principles (GGA-PBE) data for a geometry-optimized U2Pd5Pt5 structure, as listed in the Alexandria database.

Cell and atoms, written as POSCAR:
```
U2Pd5Pt5
1.0
5.9779 -2.0727 0.0000
5.9779 2.0727 0.0000
-3.9691 0.0000 8.2105
U Pd Pt
2 5 5
Direct
0.0831 0.0831 0.2517
0.9169 0.9169 0.7483
0.3350 0.3350 0.4947
0.4201 0.4201 0.2496
0.5000 0.5000 0.0000
0.5799 0.5799 0.7504
0.6650 0.6650 0.5053
0.0000 0.0000 0.5000
0.1643 0.1643 0.9979
0.2574 0.2574 0.7496
0.7426 0.7426 0.2504
0.8357 0.8357 0.0021
```

Values from the calculation:
DOS(E_F): 12.887 states/eV per cell
energy above the lowest structure with this stoichiometry: 27 meV per atom
total energy: -7.07 eV per atom
formation energy: -0.510 eV/atom
space group: C2/m (12)

***

First-principles (GGA-PBE) data for a geometry-optimized Ho2TlZn structure, as listed in the Alexandria database.

Cell and atoms, written as POSCAR:
```
Ho2TlZn
1.0
0.0000 3.6783 3.6783
3.6783 0.0000 3.6783
3.6783 3.6783 0.0000
Ho Tl Zn
2 1 1
Direct
0.2500 0.2500 0.2500
0.7500 0.7500 0.7500
0.0000 0.0000 0.0000
0.5000 0.5000 0.5000
```

Values from the calculation:
DOS(E_F): 3.905 states/eV per cell
total energy: -3.52 eV per atom
formation energy: -0.322 eV/atom
space group: Fm-3m (225)

***

- The lowest total energy belongs to which entry?
  U2Pd5Pt5